No. 1
The following is a DFT calculation (PBE) of crystalline Np2Pd13 at its relaxed geometry.

Cell lengths 7.3513, 7.3513, 7.9356 Å; angles 62.41, 62.41, 60.00 degrees
Each line ends with the local moment (μB).
Sites, in units of the cell vectors:
1 Pd 0.1417 0.5195 0.8193  -0.10
2 Pd 0.8929 0.2629 0.5813  -0.08
3 Pd 0.7371 0.7371 0.4187  -0.08
4 Pd 0.2629 0.2629 0.5813  -0.08
5 Pd 0.7371 0.1071 0.4187  -0.08
6 Pd 0.4805 0.4805 0.1807  -0.10
7 Pd 0.4805 0.8583 0.1807  -0.10
8 Pd 0.5195 0.5195 0.8193  -0.10
9 Pd 0.5195 0.1417 0.8193  -0.10
10 Pd 0.8583 0.4805 0.1807  -0.10
11 Pd 0.2629 0.8929 0.5813  -0.08
12 Pd 0.1071 0.7371 0.4187  -0.08
13 Pd 0.5000 0.5000 0.5000  -0.09
14 Np 0.2560 0.2560 0.2319  3.25
15 Np 0.7440 0.7440 0.7681  3.25

- ΔH_f (0 K): 3.4 kcal/mol of atoms

No. 2
The following is a DFT calculation (PBE) of crystalline CaAc2HgN at its relaxed geometry.

Cell lengths 5.3793, 5.3793, 4.8751 Å; angles 90.00, 90.00, 90.00 degrees
Sites, in units of the cell vectors:
1 Ac 0.5000 0.0000 0.9999
2 Ac 0.0000 0.5000 0.9998
3 Hg 0.5000 0.5000 0.5005
4 N 0.0000 0.0000 0.0000
5 Ca 0.0000 0.0000 0.4999

- Formation energy without anion corrections: -0.660 eV/atom

No. 3
The following is a DFT calculation (PBE) of crystalline Cs2TiAlS4 at its relaxed geometry.

Cell lengths 5.9460, 7.7269, 12.9627 Å; angles 84.94, 76.74, 67.37 degrees
Each line ends with the local moment (μB).
Sites, in units of the cell vectors:
1 S 0.5322 0.3209 0.5970  -0.02
2 S 0.8792 0.8209 0.9030  -0.02
3 S 0.8708 0.6791 0.5970  -0.02
4 S 0.1469 0.3209 0.4030  -0.02
5 S 0.2178 0.1791 0.9030  -0.02
6 S 0.2999 0.8209 0.0970  -0.02
7 S 0.4501 0.6791 0.4030  -0.02
8 S 0.6031 0.1791 0.0970  -0.02
9 Cs 0.5738 0.5000 0.8525  0.00
10 Cs 0.8238 0.0000 0.3525  0.00
11 Cs 0.1762 0.0000 0.6475  0.00
12 Cs 0.9262 0.5000 0.1475  0.00
13 Ti 0.7500 0.5000 0.5000  0.83
14 Ti 0.0000 0.0000 0.0000  0.83
15 Al 0.5000 0.0000 0.0000  0.01
16 Al 0.2500 0.5000 0.5000  0.01

- Formation energy without anion corrections: -1.295 eV/atom

Total energy readings, ordered: -91.15 -22.15 -80.43 eV for the cell shown